Entry 1:
Density functional theory data (PBE) for a relaxed structure of LaGdHoMg.

Cell: 5.6005 5.6005 5.6005 Å, 60.00 60.00 60.00°
Fractional positions:
1 La 0.0000 0.0000 0.0000
2 Gd 0.5000 0.5000 0.5000
3 Ho 0.7500 0.7500 0.7500
4 Mg 0.2500 0.2500 0.2500

Summary:
The calculation puts the total energy at -6.279 eV per atom. As for the energy of formation: 0.37 kcal/mol of atoms.

=====

Entry 2:
Density functional theory data (PBE) for a relaxed structure of Mg3ZnBi3.

Cell: 7.8293 7.8293 6.7410 Å, 104.97 104.97 71.71°
Fractional positions:
1 Mg 0.0455 0.4619 0.7364
2 Mg 0.0520 0.0520 0.3108
3 Mg 0.4619 0.0455 0.7364
4 Mg 0.5381 0.9545 0.2636
5 Mg 0.9480 0.9480 0.6892
6 Mg 0.9545 0.5381 0.2636
7 Zn 0.3013 0.3013 0.4644
8 Zn 0.6987 0.6987 0.5356
9 Bi 0.1846 0.1846 0.0146
10 Bi 0.2952 0.7048 0.5000
11 Bi 0.3331 0.6669 0.0000
12 Bi 0.6669 0.3331 0.0000
13 Bi 0.7048 0.2952 0.5000
14 Bi 0.8154 0.8154 0.9854

Summary:
The calculation puts the total energy at -2.575 eV per atom. As for the energy of formation: -1.06 kcal/mol of atoms.

=====

Entry 3:
Density functional theory data (PBE) for a relaxed structure of AcHo3Tl4.

Cell: 10.9778 7.7503 5.4880 Å, 90.00 90.00 90.00°
Fractional positions:
1 Ac 0.0000 0.0000 0.0000
2 Ac 0.5000 0.0000 0.0000
3 Ho 0.0000 0.5000 0.0000
4 Ho 0.2500 0.0000 0.4988
5 Ho 0.2500 0.5000 0.4980
6 Ho 0.5000 0.5000 0.0000
7 Ho 0.7500 0.0000 0.5012
8 Ho 0.7500 0.5000 0.5020
9 Tl 0.0000 0.2674 0.5000
10 Tl 0.0000 0.7326 0.5000
11 Tl 0.2500 0.2674 0.9979
12 Tl 0.2500 0.7326 0.9979
13 Tl 0.5000 0.2674 0.5000
14 Tl 0.5000 0.7326 0.5000
15 Tl 0.7500 0.2674 0.0021
16 Tl 0.7500 0.7326 0.0021

Summary:
The calculation puts the total energy at -3.718 eV per atom. As for the energy of formation: -7.02 kcal/mol of atoms.

=====

Q: The highest energy of formation belongs to which entry?
A: LaGdHoMg